## CeGeS (GGA-PBE)

Data for a relaxed CeGeS crystal.

Output
ΔE_f (raw): -1.121 eV per atom
Space-group type: Cmcm (63)
Magnetic moment: 0.22 μB per atom

Cell lengths 9.0728, 9.0728, 3.9244 Å; angles 90.00, 90.00, 155.47 degrees
Positions (direct):
Ce  0.1405  0.8595  0.7500
Ce  0.8595  0.1405  0.2500
Ge  0.4579  0.5421  0.7500
Ge  0.5421  0.4579  0.2500
S  0.3060  0.6940  0.7500
S  0.6940  0.3060  0.2500

***

## CaZrW (GGA-PBE)

Data for a relaxed CaZrW crystal.

Output
Energy relative to the lowest polymorph listed for this composition: 112.8 meV per atom
Space-group type: I4mm (107)
Formation energy: 0.655 eV per atom
Magnetic moment: 0.00 μB per atom

Cell lengths 8.2037, 8.2037, 8.2037 Å; angles 159.55, 159.55, 29.08 degrees
Positions (direct):
Ca  0.0000  0.0000  0.0000
Zr  0.6984  0.6984  0.0000
W  0.3403  0.3403  0.0000

***

## Pm3Cl2F9 (GGA-PBE)

Data for a relaxed Pm3Cl2F9 crystal.

Output
ΔE_f (raw): -3.220 eV per atom
Space-group type: C2/c (15)
Magnetic moment: 0.15 μB per atom

Cell lengths 7.1610, 7.1610, 10.4346 Å; angles 111.37, 111.37, 60.02 degrees
Positions (direct):
Pm  0.0000  0.5000  0.5000
Pm  0.1659  0.6678  0.0003
Pm  0.3322  0.8341  0.4997
Pm  0.5000  0.0000  0.0000
Pm  0.6678  0.1659  0.5003
Pm  0.8341  0.3322  0.9997
Cl  0.0937  0.2846  0.7434
Cl  0.2846  0.0937  0.2434
Cl  0.7154  0.9063  0.7566
Cl  0.9063  0.7154  0.2566
F  0.0143  0.8693  0.5683
F  0.1307  0.9857  0.9317
F  0.1746  0.5651  0.7505
F  0.1815  0.3491  0.0473
F  0.2730  0.7270  0.2500
F  0.3181  0.4964  0.4744
F  0.3491  0.1815  0.5473
F  0.4350  0.8254  0.7495
F  0.4964  0.3181  0.9744
F  0.5036  0.6819  0.0256
F  0.5651  0.1746  0.2505
F  0.6509  0.8185  0.4527
F  0.6819  0.5036  0.5256
F  0.7270  0.2730  0.7500
F  0.8185  0.6509  0.9527
F  0.8254  0.4350  0.2495
F  0.8693  0.0143  0.0683
F  0.9857  0.1307  0.4317

***

## AcLaPtN2 (GGA-PBE)

Data for a relaxed AcLaPtN2 crystal.

Output
ΔE_f (raw): -0.877 eV per atom
Space-group type: P2/c (13)
Magnetic moment: 0.00 μB per atom

Cell lengths 5.6098, 5.2737, 7.0056 Å; angles 90.00, 91.77, 90.00 degrees
Positions (direct):
Ac  0.0000  0.0178  0.2500
Ac  0.0000  0.9822  0.7500
La  0.5000  0.4934  0.7500
La  0.5000  0.5066  0.2500
Pt  0.5000  0.0000  0.0000
Pt  0.5000  0.0000  0.5000
N  0.2353  0.2823  0.9972
N  0.2353  0.7177  0.4972
N  0.7647  0.2823  0.5028
N  0.7647  0.7177  0.0028

***

## UTl2GeS4 (GGA-PBE)

Data for a relaxed UTl2GeS4 crystal.

Output
ΔE_f (raw): -0.727 eV per atom
Space-group type: P2/m (10)
Magnetic moment: 0.25 μB per atom

Cell lengths 6.9738, 4.0221, 7.7449 Å; angles 90.00, 106.85, 90.00 degrees
Positions (direct):
U  0.0000  0.0000  0.0000
Tl  0.0000  0.5000  0.5000
Tl  0.5000  0.0000  0.5000
Ge  0.5000  0.5000  0.0000
S  0.2277  0.5000  0.1933
S  0.2609  0.0000  0.8086
S  0.7391  0.0000  0.1914
S  0.7723  0.5000  0.8067

***

## Li4Ag2F (GGA-PBE)

Data for a relaxed Li4Ag2F crystal.

Output
ΔE_f (raw): -0.813 eV per atom
Space-group type: I4/mmm (139)
Magnetic moment: 0.00 μB per atom

Cell lengths 7.5107, 7.5107, 7.5107 Å; angles 149.95, 149.95, 43.01 degrees
Positions (direct):
Li  0.0000  0.5000  0.5000
Li  0.1437  0.1437  0.0000
Li  0.5000  0.0000  0.5000
Li  0.8563  0.8563  0.0000
Ag  0.3324  0.3324  0.0000
Ag  0.6676  0.6676  0.0000
F  0.0000  0.0000  0.0000

***

Question: magnetic moment of number 1 (CeGeS)?
Answer: 0.22 μB per atom